VASP calculation (PBE with a Hubbard U) on a relaxed PaCoO3 crystal.

Cell and atoms, written as POSCAR:
```
PaCoO3
1.0
0.8321 -3.3633 4.7386
-0.4673 -5.8361 -0.4243
4.5082 -3.3472 0.4685
Co O Pa
2 6 2
direct
0.6453 0.6453 0.0640
0.3547 0.3547 0.9360
0.5530 0.2433 0.2525
0.4470 0.7567 0.7475
0.0488 0.4470 0.7475
0.7567 0.0488 0.7475
0.9512 0.5530 0.2525
0.2433 0.9512 0.2525
0.1465 0.1465 0.5606
0.8535 0.8535 0.4394
```

Magnetization (μB per formula unit): 2.001
Symmetry: R-3, No. 148
DFT total energy (Ha/atom): -0.28660